# GdYZr (PBE, optimized geometry)
data_GdYZr
_chemical_formula_sum 'Gd2 Y2 Zr2'
_cell_length_a 3.411
_cell_length_b 3.411
_cell_length_c 14.873
_cell_angle_alpha 90.00
_cell_angle_beta 90.00
_cell_angle_gamma 90.00
_space_group_name_H-M_alt 'I 4 m m'
_space_group_IT_number 107
_space_group_name_Hall 'I 4 -2'
loop_
_atom_site_label
_atom_site_fract_x
_atom_site_fract_y
_atom_site_fract_z
_atom_site_occupancy
Gd1 0.000 0.000 0.000 1
Y1 0.000 0.000 0.310 1
Zr1 0.000 0.000 0.656 1
# Calculated density ... 6.5 Mg/m³
# ΔE to the lowest computed polymorph ... 0 meV per atom
# Formation energy ... 88 meV per atom